First-principles (PBE-GGA) data for crystalline CuGeAsO6 at its relaxed geometry, as listed in the Alexandria database.

Results
Formation energy (no corrections), eV/atom: -0.993
Space group: P-31c
ρ, g/cm³: 5.6
Spin magnetization, μB/f.u.: 2.1
V, Å³ per cell: 181.6

Cell and atoms, written as CIF:
```
data_CuGeAsO6
_symmetry_space_group_name_H-M 'P 1'
_symmetry_Int_Tables_number 1
_cell_length_a 4.910
_cell_length_b 4.910
_cell_length_c 8.700
_cell_angle_alpha 90.00
_cell_angle_beta 90.00
_cell_angle_gamma 120.00
loop_
_symmetry_equiv_pos_as_xyz
'x,y,z'
loop_
_atom_site_label
_atom_site_fract_x
_atom_site_fract_y
_atom_site_fract_z
O1 0.640 0.647 0.133
O2 0.647 0.640 0.633
Cu1 0.000 0.000 0.000
O3 0.993 0.640 0.867
O4 0.353 0.993 0.133
Ge1 0.667 0.333 0.250
O5 0.640 0.993 0.367
O6 0.353 0.360 0.367
Ge2 0.333 0.667 0.750
As1 0.333 0.667 0.250
O7 0.007 0.360 0.133
O8 0.647 0.007 0.867
O9 0.360 0.353 0.867
O10 0.360 0.007 0.633
O11 0.007 0.647 0.367
Cu2 0.000 0.000 0.500
As2 0.667 0.333 0.750
O12 0.993 0.353 0.633
```